Entry 1:
Computed, not measured: an optimized crystal structure of LaMoRu2 at the PBE level of DFT.

For the energy of formation from the pure elements, the calculation gives 0.3814 eV/atom. As for the crystal system: orthorhombic. The total magnetization is 0.00 Bohr magnetons per cell.

The space group is Imm2 (No. 44) and the conventional cell measures 2.930, 4.786 and 10.501 Å, with angles of 90.00, 90.00 and 90.00 degrees. The inequivalent atoms are La at (0.000, 0.000, 0.000), Mo at (0.000, 0.500, 0.786), Ru at (0.000, 0.000, 0.512) and Ru at (0.000, 0.500, 0.223).

***

Entry 2:
Computed, not measured: an optimized crystal structure of Tl2RhF at the PBE level of DFT.

Its raw total energy is -3.937 eV/atom. As for the crystal system: tetragonal. The total magnetization is 0.00 Bohr magnetons per cell.

The space group is I-42d (No. 122) and the conventional cell measures 6.917, 6.917 and 7.142 Å, with angles of 90.00, 90.00 and 90.00 degrees. The inequivalent atoms are Tl at (0.230, 0.250, 0.125), Rh at (0.000, 0.000, 0.500) and F at (0.000, 0.000, 0.000).

***

Entry 3:
Computed, not measured: an optimized crystal structure of SbIN2 at the PBE level of DFT.

Its raw total energy is -3.562 eV/atom. As for the crystal system: cubic. The total magnetization is 0.00 Bohr magnetons per cell.

The space group is Fm-3m (No. 225) and the conventional cell measures 6.258, 6.258 and 6.258 Å, with angles of 90.00, 90.00 and 90.00 degrees. The inequivalent atoms are Sb at (0.000, 0.000, 0.000), I at (0.000, 0.000, 0.500) and N at (0.250, 0.250, 0.250).

***

Entry 4:
Computed, not measured: an optimized crystal structure of CePmHo4Er2 at the PBE level of DFT.

For the energy of formation from the pure elements, the calculation gives 0.0475 eV/atom. As for the crystal system: orthorhombic. The total magnetization is 1.00 Bohr magnetons per cell.

The space group is Pmmm (No. 47) and the conventional cell measures 5.003, 5.016 and 9.970 Å, with angles of 90.00, 90.00 and 90.00 degrees. The inequivalent atoms are Ce at (0.000, 0.000, 0.000), Pm at (0.500, 0.500, 0.500), Ho at (0.000, 0.500, 0.247), Ho at (0.500, 0.000, 0.247), Er at (0.000, 0.000, 0.500) and Er at (0.500, 0.500, 0.000).

***

Entry 5:
Computed, not measured: an optimized crystal structure of Pm3PuSn2 at the PBE level of DFT.

For the energy of formation from the pure elements, the calculation gives -0.1602 eV/atom. As for the crystal system: hexagonal. The total magnetization is 6.83 Bohr magnetons per cell.

The space group is P6/mmm (No. 191) and the conventional cell measures 7.3394, 7.3394 and 4.6153 Å, with angles of 90.00, 90.00 and 120.00 degrees. The inequivalent atoms are Pm at (0.0000, 0.5000, 0.0000), Pu at (0.0000, 0.0000, 0.5000) and Sn at (0.3333, 0.6667, 0.5000).

***

Entry 6:
Computed, not measured: an optimized crystal structure of CaTlPdAu2 at the PBE level of DFT.

For the energy of formation from the pure elements, the calculation gives 0.1157 eV/atom. As for the crystal system: tetragonal. The total magnetization is 0.00 Bohr magnetons per cell.

The space group is P4/mmm (No. 123) and the conventional cell measures 5.235, 5.235 and 5.158 Å, with angles of 90.00, 90.00 and 90.00 degrees. The inequivalent atoms are Ca at (0.000, 0.000, 0.000), Tl at (0.500, 0.500, 0.500), Pd at (0.500, 0.500, 0.000) and Au at (0.000, 0.500, 0.500).

***

Entry 7:
Computed, not measured: an optimized crystal structure of La12ScIn3 at the PBE level of DFT.

For the energy of formation from the pure elements, the calculation gives -0.2102 eV/atom. As for the crystal system: tetragonal. The total magnetization is 0.00 Bohr magnetons per cell.

The space group is P4/mmm (No. 123) and the conventional cell measures 5.071, 5.071 and 20.408 Å, with angles of 90.00, 90.00 and 90.00 degrees. The inequivalent atoms are La at (0.000, 0.000, 0.000), La at (0.000, 0.000, 0.249), La at (0.000, 0.000, 0.500), La at (0.000, 0.500, 0.124), La at (0.000, 0.500, 0.373), Sc at (0.500, 0.500, 0.500), In at (0.500, 0.500, 0.000) and In at (0.500, 0.500, 0.247).

***

Q: What is the total magnetization in the third record?
A: 0.00 Bohr magnetons per cell

***

Q: Which value of total magnetization does entry 4 give?
A: 1.00 Bohr magnetons per cell

***

Q: Which value of total magnetization does entry 1 give?
A: 0.00 Bohr magnetons per cell